(1)
TbPrSc4: optimized geometry, PBE-GGA.

Lattice parameters (Å, degrees): 6.5828 18.6197 5.3704 90.00 90.00 90.00
Closest atoms and distances in Å follow each position.
Space group Cmcm (No. 63)
Asymmetric unit:
Tb 0.0000 0.1267 0.2500 x4  2 Pr 3.29, 12 Sc 3.49-3.53
Pr 0.0000 0.3769 0.7500 x4  2 Tb 3.29, 12 Sc 3.50-3.54
Sc 0.2454 0.0417 0.7500 x8  5 Sc 3.10-3.35
Sc 0.2488 0.2085 0.7500 x8  5 Sc 3.10-3.31

## Properties
* N(E_F): 1.7174 states/eV/atom
* energy: -5.72 eV per atom
* E_form: 0.4 eV/f.u.
* energy above the lowest structure with this stoichiometry: 0.00 eV per formula unit

=====

(2)
TbPr4Sc5: optimized geometry, PBE-GGA.

Lattice parameters (Å, degrees): 3.6405 3.6405 22.2463 90.00 90.00 90.00
Closest atoms and distances in Å follow each position.
Space group P4/mmm (No. 123)
Asymmetric unit:
Tb 0.0000 0.0000 0.0000 x1  8 Sc 3.35, 4 Tb 3.64
Pr 0.0000 0.0000 0.1974 x2  8 Sc 3.41-3.42, 4 Pr 3.64
Pr 0.0000 0.0000 0.3992 x2  8 Sc 3.41-3.42, 4 Pr 3.64
Sc 0.5000 0.5000 0.0964 x2  4 Tb 3.35, 4 Pr 3.42, 4 Sc 3.64
Sc 0.5000 0.5000 0.2982 x2  8 Pr 3.41-3.42, 4 Sc 3.64
Sc 0.5000 0.5000 0.5000 x1  8 Pr 3.41, 4 Sc 3.64

## Properties
* N(E_F): 1.4501 states/eV/atom
* energy: -5.48 eV per atom
* E_form: 0.6 eV/f.u.

=====

(3)
Tb6PrSc6: optimized geometry, PBE-GGA.

Lattice parameters (Å, degrees): 6.4339 6.4339 10.9443 90.00 90.00 120.00
Closest atoms and distances in Å follow each position.
Space group P6/mmm (No. 191)
Asymmetric unit:
Tb 0.0000 0.0000 0.1583 x2  6 Sc 3.39, 1 Tb 3.47, 1 Pr 3.74
Tb 0.3333 0.6667 0.0000 x2  6 Sc 3.36, 3 Tb 3.71
Tb 0.3333 0.6667 0.5000 x2  6 Sc 3.25
Pr 0.0000 0.0000 0.5000 x1  8 Tb 3.71-3.74
Sc 0.0000 0.5000 0.2560 x6  4 Sc 3.22, 6 Tb 3.25-3.39

## Properties
* N(E_F): 2.1928 states/eV/atom
* energy: -5.20 eV per atom
* E_form: 2.9 eV/f.u.

=====

(4)
TbPr3Sc2: optimized geometry, PBE-GGA.

Lattice parameters (Å, degrees): 9.6701 3.4673 11.8639 90.00 108.35 90.00
Closest atoms and distances in Å follow each position.
Space group P2_1/m (No. 11)
Asymmetric unit:
Tb 0.1462 0.2500 0.1284 x2  5 Pr 3.34-3.57, 2 Tb 3.47, 4 Sc 3.67-3.74
Pr 0.2040 0.7500 0.8836 x2  5 Sc 3.22-3.48, 3 Pr 3.31-3.47, 3 Tb 3.34-3.57
Pr 0.2813 0.7500 0.6311 x2  6 Pr 3.31-3.67, 5 Sc 3.41-3.56
Pr 0.3853 0.7500 0.3709 x2  2 Sc 3.40-3.42, 7 Pr 3.47-3.67, 2 Tb 3.53
Sc 0.0278 0.7500 0.3553 x2  6 Pr 3.40-3.50, 2 Sc 3.47, 2 Tb 3.67
Sc 0.4849 0.7500 0.1188 x2  6 Pr 3.22-3.56, 4 Sc 3.40-3.47

## Properties
* N(E_F): 1.4957 states/eV/atom
* energy: -5.15 eV per atom
* E_form: 0.7 eV/f.u.
* energy above the lowest structure with this stoichiometry: 0.00 eV per formula unit

=====

(5)
Tb9Pr11Sc4: optimized geometry, PBE-GGA.

Lattice parameters (Å, degrees): 16.9870 25.7021 3.6217 90.00 90.00 90.00
Closest atoms and distances in Å follow each position.
Space group Cmmm (No. 65)
Asymmetric unit:
Tb 0.0000 0.0000 0.0000 x2  2 Tb 3.62, 4 Sc 3.74, 8 Pr 3.78-3.86
Tb 0.1024 0.2309 0.0000 x8  1 Sc 3.43, 3 Tb 3.48-3.62, 8 Pr 3.59-3.77
Tb 0.1453 0.4281 0.0000 x8  1 Sc 3.45, 8 Pr 3.58-3.80, 3 Tb 3.62-3.70
Pr 0.0000 0.1293 0.5000 x4  4 Sc 3.29, 2 Pr 3.62, 4 Tb 3.62
Pr 0.0000 0.3404 0.5000 x4  4 Pr 3.62-3.87, 8 Tb 3.77-3.80
Pr 0.0000 0.5000 0.5000 x2  8 Tb 3.58, 2 Pr 3.62
Pr 0.2010 0.0000 0.5000 x4  4 Sc 3.28, 2 Pr 3.62
Pr 0.2257 0.3201 0.5000 x8  2 Sc 3.35, 6 Tb 3.59-3.68, 3 Pr 3.62-3.69
Sc 0.1568 0.1023 0.0000 x8  6 Pr 3.28-3.35, 2 Tb 3.43-3.45, 2 Sc 3.62

## Properties
* N(E_F): 1.3017 states/eV/atom
* energy: -4.93 eV per atom
* E_form: 1.3 eV/f.u.

=====

(6)
Tb3PrSc3: optimized geometry, PBE-GGA.

Lattice parameters (Å, degrees): 8.3735 8.3735 21.1094 90.00 90.00 120.00
Closest atoms and distances in Å follow each position.
Space group R-3 (No. 148, hexagonal axes)
Asymmetric unit:
Tb 0.0528 0.4497 0.3803 x18  4 Sc 3.21-3.50, 2 Tb 3.49, 1 Pr 3.56
Pr 0.0000 0.0000 0.1512 x6  6 Sc 3.45-3.72, 6 Tb 3.56-3.62
Sc 0.0055 0.2237 0.5572 x18  4 Sc 3.04-3.21, 3 Tb 3.21-3.34

## Properties
* N(E_F): 1.7547 states/eV/atom
* energy: -5.20 eV per atom
* E_form: 1.3 eV/f.u.
* energy above the lowest structure with this stoichiometry: 0.00 eV per formula unit

=====

(7)
Tb6PrSc: optimized geometry, PBE-GGA.

Lattice parameters (Å, degrees): 5.0271 5.0271 9.9778 90.00 90.00 90.00
Closest atoms and distances in Å follow each position.
Space group P4/mmm (No. 123)
Asymmetric unit:
Tb 0.0000 0.0000 0.0000 x1  8 Tb 3.49, 4 Sc 3.55
Tb 0.0000 0.0000 0.5000 x1  4 Pr 3.55, 8 Tb 3.60
Tb 0.0000 0.5000 0.2421 x4  8 Tb 3.49-3.60, 2 Sc 3.49, 2 Pr 3.60
Pr 0.5000 0.5000 0.5000 x1  12 Tb 3.55-3.60
Sc 0.5000 0.5000 0.0000 x1  12 Tb 3.49-3.55

## Properties
* N(E_F): 1.6304 states/eV/atom
* energy: -4.82 eV per atom
* E_form: 0.3 eV/f.u.
* energy above the lowest structure with this stoichiometry: 0.00 eV per formula unit

=====

(8)
Tb9Pr2Sc: optimized geometry, PBE-GGA.

Lattice parameters (Å, degrees): 5.0456 5.0456 15.0841 90.00 90.00 90.00
Closest atoms and distances in Å follow each position.
Space group P4/mmm (No. 123)
Asymmetric unit:
Tb 0.0000 0.0000 0.0000 x1  8 Tb 3.49, 4 Sc 3.57
Tb 0.0000 0.0000 0.3296 x2  4 Pr 3.57, 8 Tb 3.60
Tb 0.0000 0.5000 0.1598 x4  8 Tb 3.49-3.60, 2 Sc 3.49, 2 Pr 3.61
Tb 0.0000 0.5000 0.5000 x2  8 Tb 3.57-3.60, 4 Pr 3.59
Pr 0.5000 0.5000 0.3307 x2  12 Tb 3.57-3.61
Sc 0.5000 0.5000 0.0000 x1  12 Tb 3.49-3.57

## Properties
* N(E_F): 1.5684 states/eV/atom
* energy: -4.77 eV per atom
* E_form: 0.4 eV/f.u.

=====

(9)
Tb10PrSc4: optimized geometry, PBE-GGA.

Lattice parameters (Å, degrees): 12.2598 12.2598 6.6793 90.00 90.00 90.00
Closest atoms and distances in Å follow each position.
Space group I4/m (No. 87)
Asymmetric unit:
Tb 0.0000 0.5000 0.2500 x4  6 Tb 3.08-3.34
Tb 0.1228 0.2811 0.2448 x16  4 Tb 3.08-3.41, 2 Sc 3.17-3.18
Pr 0.0000 0.0000 0.0000 x2  8 Sc 4.07, 8 Tb 4.10
Sc 0.0690 0.8227 0.5000 x8  6 Tb 3.17-3.47, 2 Sc 3.30

## Properties
* N(E_F): 1.9038 states/eV/atom
* energy: -4.53 eV per atom
* E_form: 8.4 eV/f.u.

=====

(10)
Tb7Pr2Sc2: optimized geometry, PBE-GGA.

Lattice parameters (Å, degrees): 10.9230 11.4806 6.0581 90.00 112.39 90.00
Closest atoms and distances in Å follow each position.
Space group C2/m (No. 12)
Asymmetric unit:
Tb 0.0000 0.0000 0.0000 x2  6 Tb 3.30-3.40
Tb 0.1778 0.2383 0.1904 x8  2 Sc 3.18-3.33, 5 Tb 3.26-3.55
Tb 0.2114 0.0000 0.5828 x4  5 Tb 3.33-3.55, 2 Sc 3.35, 1 Pr 3.57
Pr 0.0807 0.5000 0.7982 x4  2 Pr 3.36-3.52, 4 Tb 3.57-3.74, 2 Sc 3.60
Sc 0.0000 0.2227 0.5000 x4  6 Tb 3.18-3.35

## Properties
* N(E_F): 1.4990 states/eV/atom
* energy: -4.81 eV per atom
* E_form: 1.7 eV/f.u.
* energy above the lowest structure with this stoichiometry: 0.00 eV per formula unit

=====

(11)
Tb2Pr8Sc: optimized geometry, PBE-GGA.

Lattice parameters (Å, degrees): 5.7878 8.0226 16.4963 90.00 90.00 90.00
Closest atoms and distances in Å follow each position.
Space group Immm (No. 71)
Asymmetric unit:
Tb 0.0000 0.0000 0.1994 x4  10 Pr 3.53-3.73
Pr 0.0000 0.2201 0.0000 x4  7 Pr 3.53-3.61, 2 Sc 3.66, 2 Tb 3.73
Pr 0.0000 0.2913 0.3695 x8  1 Sc 3.18, 1 Pr 3.35, 2 Tb 3.53
Pr 0.0000 0.5000 0.1682 x4  8 Pr 3.57-3.77, 2 Tb 3.63
Sc 0.0000 0.0000 0.5000 x2  4 Pr 3.18

## Properties
* N(E_F): 1.5177 states/eV/atom
* energy: -4.78 eV per atom
* E_form: 1.2 eV/f.u.
* energy above the lowest structure with this stoichiometry: 0.00 eV per formula unit

=====

(12)
Tb12PrSc5: optimized geometry, PBE-GGA.

Lattice parameters (Å, degrees): 6.0618 10.5011 17.0372 90.00 96.80 90.00
Closest atoms and distances in Å follow each position.
Space group C2/m (No. 12)
Asymmetric unit:
Tb 0.1130 0.0000 0.3392 x4  3 Sc 3.38-3.39, 9 Tb 3.50-3.56
Tb 0.1132 0.3333 0.3397 x8  3 Sc 3.38-3.39, 9 Tb 3.50-3.55
Tb 0.2178 0.5000 0.1668 x4  2 Sc 3.46, 9 Tb 3.48-3.56, 1 Pr 3.49
Tb 0.2247 0.1689 0.1667 x8  2 Sc 3.46, 9 Tb 3.48-3.56, 1 Pr 3.49
Pr 0.0000 0.0000 0.0000 x2  6 Tb 3.49, 6 Sc 3.50
Sc 0.0000 0.1658 0.5000 x4  6 Tb 3.38-3.39, 6 Sc 3.48-3.51
Sc 0.0000 0.3333 0.0000 x4  6 Tb 3.46, 3 Sc 3.50, 3 Pr 3.50
Sc 0.0000 0.5000 0.5000 x2  6 Tb 3.38-3.39, 6 Sc 3.50-3.51

## Properties
* N(E_F): 1.3318 states/eV/atom
* energy: -5.07 eV per atom
* E_form: 0.7 eV/f.u.